1.
Material: ScTaZnPd2
Method: DFT, PBE-GGA
State: optimized geometry

Values from the calculation:
SG: P4/mmm
Fermi-level density of states in states/eV/cell: 4.832
Total moment in μB per formula unit: 0.000

abc: 4.8470 4.8470 5.1149
angles: 90.00 90.00 90.00
Closest atoms and distances in Å follow each position.
Sites, in units of the cell vectors:
Sc  0.0000  0.0000  0.0000  2 Ta 2.56
Ta  0.0000  0.0000  0.5000  4 Pd 2.42, 2 Sc 2.56
Zn  0.5000  0.5000  0.0000  4 Sc 3.43, 8 Pd 3.52
Pd  0.0000  0.5000  0.5000  2 Ta 2.42
Pd  0.5000  0.0000  0.5000  2 Ta 2.42



2.
Material: TbScPd4
Method: DFT, PBE-GGA
State: optimized geometry

Values from the calculation:
SG: F-43m
Fermi-level density of states in states/eV/cell: 4.368
Total moment in μB per formula unit: 0.000

abc: 5.3828 5.3828 5.3828
angles: 60.00 60.00 60.00
Closest atoms and distances in Å follow each position.
Sites, in units of the cell vectors:
Tb  0.0000  0.0000  0.0000  12 Pd 3.16, 4 Sc 3.30
Sc  0.2500  0.2500  0.2500  12 Pd 3.16, 4 Tb 3.30
Pd  0.1258  0.6247  0.6247  6 Pd 2.69-2.70
Pd  0.6247  0.1258  0.6247  6 Pd 2.69-2.70
Pd  0.6247  0.6247  0.1258  6 Pd 2.69-2.70
Pd  0.6247  0.6247  0.6247  6 Pd 2.69-2.70



3.
Material: TbSc3Pd4
Method: DFT, PBE-GGA
State: optimized geometry

Values from the calculation:
SG: R-3m
Fermi-level density of states in states/eV/cell: 4.910
Total moment in μB per formula unit: 0.000

abc: 8.4670 8.4670 8.4670
angles: 32.27 32.27 32.27
Closest atoms and distances in Å follow each position.
Sites, in units of the cell vectors:
Tb  0.0000  0.0000  0.0000  8 Pd 3.00-3.09
Sc  0.2469  0.2469  0.2469  7 Pd 2.83-2.90
Sc  0.5000  0.5000  0.5000  8 Pd 2.73-2.87
Sc  0.7531  0.7531  0.7531  7 Pd 2.83-2.90
Pd  0.1283  0.1283  0.1283  7 Sc 2.85-2.90, 1 Tb 3.09
Pd  0.3865  0.3865  0.3865  4 Sc 2.73-2.83, 3 Tb 3.00
Pd  0.6135  0.6135  0.6135  4 Sc 2.73-2.83, 3 Tb 3.00
Pd  0.8717  0.8717  0.8717  7 Sc 2.85-2.90, 1 Tb 3.09



4.
Material: TbSc5Pd6
Method: DFT, PBE-GGA
State: optimized geometry

Values from the calculation:
SG: P2/m
Fermi-level density of states in states/eV/cell: 7.331
Total moment in μB per formula unit: 0.000

abc: 4.7835 6.5599 7.5629
angles: 90.00 108.36 90.00
Closest atoms and distances in Å follow each position.
Sites, in units of the cell vectors:
Tb  0.0000  0.0000  0.0000  8 Pd 2.95-2.99, 2 Sc 3.28
Sc  0.0000  0.5000  0.0000  8 Pd 2.85-2.95
Sc  0.3317  0.0000  0.6621  8 Pd 2.82-2.97
Sc  0.3344  0.5000  0.6679  8 Pd 2.82-2.89
Sc  0.6656  0.5000  0.3321  8 Pd 2.82-2.89
Sc  0.6683  0.0000  0.3379  8 Pd 2.82-2.97
Pd  0.1712  0.2550  0.3450  7 Sc 2.82-2.95, 1 Tb 2.99
Pd  0.1712  0.7450  0.3450  7 Sc 2.82-2.95, 1 Tb 2.99
Pd  0.5000  0.2626  0.0000  6 Sc 2.85-2.97, 2 Tb 2.95, 1 Pd 3.11
Pd  0.5000  0.7374  0.0000  6 Sc 2.85-2.97, 2 Tb 2.95, 1 Pd 3.11
Pd  0.8288  0.2550  0.6550  7 Sc 2.82-2.95, 1 Tb 2.99
Pd  0.8288  0.7450  0.6550  7 Sc 2.82-2.95, 1 Tb 2.99



5.
Material: Tb4ScPd5
Method: DFT, PBE-GGA
State: optimized geometry

Values from the calculation:
SG: P4/mmm
Fermi-level density of states in states/eV/cell: 7.004
Total moment in μB per formula unit: 0.000

abc: 3.4399 3.4399 17.8145
angles: 90.00 90.00 90.00
Closest atoms and distances in Å follow each position.
Sites, in units of the cell vectors:
Tb  0.0000  0.0000  0.1025  8 Pd 3.04
Tb  0.0000  0.0000  0.3074  8 Pd 3.04-3.07
Tb  0.0000  0.0000  0.6926  8 Pd 3.04-3.07
Tb  0.0000  0.0000  0.8975  8 Pd 3.04
Sc  0.0000  0.0000  0.5000  8 Pd 2.89
Pd  0.5000  0.5000  0.0000  8 Tb 3.04
Pd  0.5000  0.5000  0.2048  8 Tb 3.04
Pd  0.5000  0.5000  0.4123  4 Sc 2.89, 4 Tb 3.07, 1 Pd 3.12
Pd  0.5000  0.5000  0.5877  4 Sc 2.89, 4 Tb 3.07, 1 Pd 3.12
Pd  0.5000  0.5000  0.7952  8 Tb 3.04



6.
Material: Tb2ScPd2
Method: DFT, PBE-GGA
State: optimized geometry

Values from the calculation:
SG: P4/mbm
Fermi-level density of states in states/eV/cell: 8.670
Total moment in μB per formula unit: 0.000

abc: 7.6081 7.6081 3.9754
angles: 90.00 90.00 90.00
Closest atoms and distances in Å follow each position.
Sites, in units of the cell vectors:
Tb  0.1703  0.3297  0.0000  6 Pd 2.90-3.06
Tb  0.3297  0.8297  0.0000  6 Pd 2.90-3.06
Tb  0.6703  0.1703  0.0000  6 Pd 2.90-3.06
Tb  0.8297  0.6703  0.0000  6 Pd 2.90-3.06
Sc  0.0000  0.0000  0.5000  4 Pd 2.97
Sc  0.5000  0.5000  0.5000  4 Pd 2.97
Pd  0.1330  0.6330  0.5000  1 Pd 2.86, 6 Tb 2.90-3.06, 2 Sc 2.97
Pd  0.3670  0.1330  0.5000  1 Pd 2.86, 6 Tb 2.90-3.06, 2 Sc 2.97
Pd  0.6330  0.8670  0.5000  1 Pd 2.86, 6 Tb 2.90-3.06, 2 Sc 2.97
Pd  0.8670  0.3670  0.5000  1 Pd 2.86, 6 Tb 2.90-3.06, 2 Sc 2.97



| no. | DFT formation energy (eV/atom) | calculated volume (Å³/atom) |
| --- | --- | --- |
| 1 | 0.8285 | 24.03 |
| 2 | -0.7363 | 18.38 |
| 3 | -0.8784 | 19.23 |
| 4 | -0.8818 | 18.77 |
| 5 | -0.8607 | 21.08 |
| 6 | -0.7235 | 23.01 |